# 1
Nb3Au | PBE-GGA | optimized geometry

Values from the calculation:
Distance to the lowest polymorph of the same formula   0.17 eV per formula unit
Total DFT energy (no corrections)   -8.4243 eV per atom
Space-group type   P4/mmm (123)
ΔH_f (0 K)   -0.21 eV/f.u.

a = 4.448 Å, b = 4.448 Å, c = 3.636 Å
α = 90.00°, β = 90.00°, γ = 90.00°
Sites, in units of the cell vectors:
Nb: 0.000 0.000 0.000
Nb: 0.000 0.500 0.500
Nb: 0.500 0.000 0.500
Au: 0.500 0.500 0.000

***

# 2
Nb3Au | PBE-GGA | optimized geometry

Values from the calculation:
Distance to the lowest polymorph of the same formula   0.03 eV per formula unit
Total DFT energy (no corrections)   -8.4592 eV per atom
Space-group type   Pm-3n (223)
ΔH_f (0 K)   -0.35 eV/f.u.

a = 5.253 Å, b = 5.253 Å, c = 5.253 Å
α = 90.00°, β = 90.00°, γ = 90.00°
Sites, in units of the cell vectors:
Nb: 0.000 0.250 0.500
Nb: 0.000 0.750 0.500
Nb: 0.250 0.500 0.000
Nb: 0.500 0.000 0.250
Nb: 0.500 0.000 0.750
Nb: 0.750 0.500 0.000
Au: 0.000 0.000 0.000
Au: 0.500 0.500 0.500